No. 1
A PBEsol-optimized structure of MgRuAu2. Source: Alexandria, functional SCAN.

It has space group P4mm (No. 99), with a = 3.305 Å, b = 3.305 Å, c = 5.892 Å, α = 90.00°, β = 90.00° and γ = 90.00°. The asymmetric unit holds Mg at (0.000, 0.000, 0.000), Ru at (0.500, 0.500, 0.253), Au at (0.000, 0.000, 0.482) and Au at (0.500, 0.500, 0.756).

Its crystal system is tetragonal. For the energy relative to the elements, the calculation gives -37 meV per atom.

***

No. 2
A PBEsol-optimized structure of MgCr3Co. Source: Alexandria, functional SCAN.

It has space group Pm-3m (No. 221), with a = 4.707 Å, b = 4.707 Å, c = 4.707 Å, α = 90.00°, β = 90.00° and γ = 90.00°. The asymmetric unit holds Mg at (0.000, 0.000, 0.000), Cr at (0.000, 0.000, 0.500) and Co at (0.500, 0.500, 0.500).

Its crystal system is cubic. For the energy relative to the elements, the calculation gives 1767 meV per atom.

***

No. 3
A PBEsol-optimized structure of MnHg2BiS. Source: Alexandria, functional SCAN.

It has space group P4/mmm (No. 123), with a = 5.648 Å, b = 5.648 Å, c = 5.273 Å, α = 90.00°, β = 90.00° and γ = 90.00°. The asymmetric unit holds Mn at (0.000, 0.000, 0.000), Hg at (0.000, 0.500, 0.500), Bi at (0.500, 0.500, 0.500) and S at (0.500, 0.500, 0.000).

Its crystal system is tetragonal. The formation energy without anion corrections is 2.85 eV/f.u.

***

No. 4
A PBEsol-optimized structure of RbInF2. Source: Alexandria, functional SCAN.

It has space group R-3m (No. 166, hexagonal axes), with a = 3.6596 Å, b = 3.6596 Å, c = 23.3071 Å, α = 90.00°, β = 90.00° and γ = 120.00°. The asymmetric unit holds Rb at (0.0000, 0.0000, 0.0000), In at (0.0000, 0.0000, 0.5000) and F at (0.0000, 0.0000, 0.4054).

Its crystal system is trigonal. The formation energy without anion corrections is -8.50 eV/f.u.

***

In order of appearance, DFT total energy = -178.3; -68.6; -239.9; -209.1 eV/cell.